Entry 1:
The following is a PBE calculation of an optimized crystal structure of LaThBi, from Alexandria.

Values from the calculation:
Energy of formation in eV/atom: -0.14
Energy above the most stable polymorph in this dataset in meV/atom: 242.8
Theoretical density in g/cm3: 9.61
Space group: P3m1

POSCAR file:
```
LaThBi
1.0
5.625 0.000 0.000
-2.813 4.871 0.000
0.000 0.000 3.658
La Th Bi
1 1 1
direct
0.000 0.000 0.000
0.333 0.667 0.461
0.667 0.333 0.692
```



Entry 2:
The following is a PBE calculation of an optimized crystal structure of ZnIn2Se, from Alexandria.

Values from the calculation:
Energy above the most stable polymorph in this dataset in meV/atom: 150.2
Formation energy from raw total energies in meV per atom: -21
Theoretical density in g/cm3: 6.24
Space group: Immm

POSCAR file:
```
ZnIn2Se
1.0
-1.898 3.004 4.364
1.898 -3.004 4.364
1.898 3.004 -4.364
Zn In Se
1 2 1
direct
0.000 0.000 0.000
0.249 0.749 0.500
0.751 0.251 0.500
0.500 0.500 0.000
```



Entry 3:
The following is a PBE calculation of an optimized crystal structure of SmDy3Tl5, from Alexandria.

Values from the calculation:
Energy of formation in eV/atom: -0.29
Theoretical density in g/cm3: 10.96
Space group: P6_3/mcm

POSCAR file:
```
SmDy3Tl5
1.0
9.399 0.000 0.000
-4.700 8.140 0.000
0.000 0.000 6.574
Sm Dy Tl
2 6 10
direct
0.000 0.000 0.000
0.000 0.000 0.500
0.000 0.368 0.250
0.000 0.632 0.750
0.368 0.000 0.250
0.368 0.368 0.750
0.632 0.000 0.750
0.632 0.632 0.250
0.000 0.303 0.750
0.000 0.697 0.250
0.303 0.000 0.750
0.303 0.303 0.250
0.333 0.667 0.000
0.333 0.667 0.500
0.667 0.333 0.000
0.667 0.333 0.500
0.697 0.000 0.250
0.697 0.697 0.750
```



Entry 4:
The following is a PBE calculation of an optimized crystal structure of Pm12Co6Te, from Alexandria.

Values from the calculation:
Formation energy from raw total energies in meV per atom: -228
Theoretical density in g/cm3: 7.41
Space group: Im-3

POSCAR file:
```
Pm12Co6Te
1.0
-4.992 4.992 4.992
4.992 -4.992 4.992
4.992 4.992 -4.992
Pm Co Te
12 6 1
direct
0.112 0.804 0.308
0.196 0.308 0.505
0.196 0.692 0.888
0.308 0.112 0.804
0.308 0.505 0.196
0.495 0.804 0.692
0.505 0.196 0.308
0.692 0.495 0.804
0.692 0.888 0.196
0.804 0.308 0.112
0.804 0.692 0.495
0.888 0.196 0.692
0.111 0.611 0.500
0.389 0.500 0.889
0.500 0.111 0.611
0.500 0.889 0.389
0.611 0.500 0.111
0.889 0.389 0.500
0.000 0.000 0.000
```



Entry 5:
The following is a PBE calculation of an optimized crystal structure of NaCeGeAu, from Alexandria.

Values from the calculation:
Energy of formation in eV/atom: -0.45
Theoretical density in g/cm3: 7.87
Space group: F-43m

POSCAR file:
```
NaCeGeAu
1.0
0.000 3.573 3.573
3.573 0.000 3.573
3.573 3.573 0.000
Na Ce Ge Au
1 1 1 1
direct
0.000 0.000 0.000
0.500 0.500 0.500
0.250 0.250 0.250
0.750 0.750 0.750
```



Entry 6:
The following is a PBE calculation of an optimized crystal structure of Zn2FeIr, from Alexandria.

Values from the calculation:
Energy of formation in eV/atom: 0.05
Theoretical density in g/cm3: 11.19
Space group: Cmm2

POSCAR file:
```
Zn2FeIr
1.0
1.400 -2.296 0.000
1.400 2.296 0.000
0.000 0.000 8.747
Zn Fe Ir
2 1 1
direct
0.000 0.000 0.000
0.500 0.500 0.259
0.500 0.500 0.757
0.000 0.000 0.515
```



Entry 7:
The following is a PBE calculation of an optimized crystal structure of P2AuCl, from Alexandria.

Values from the calculation:
Energy above the most stable polymorph in this dataset in meV/atom: 278.9
Formation energy from raw total energies in meV per atom: 274
Theoretical density in g/cm3: 4.44
Space group: Cmm2

POSCAR file:
```
P2AuCl
1.0
1.642 -4.104 0.000
1.642 4.104 0.000
0.000 0.000 8.161
P Au Cl
2 1 1
direct
0.000 0.000 0.000
0.500 0.500 0.173
0.500 0.500 0.767
0.000 0.000 0.531
```



Entry 8:
The following is a PBE calculation of an optimized crystal structure of AlTlTc2, from Alexandria.

Values from the calculation:
Energy of formation in eV/atom: 0.29
Energy above the most stable polymorph in this dataset in meV/atom: 164.5
Theoretical density in g/cm3: 10.69
Space group: P4/mmm

POSCAR file:
```
AlTlTc2
1.0
3.184 0.000 0.000
0.000 3.184 0.000
0.000 0.000 6.549
Al Tl Tc
1 1 2
direct
0.000 0.000 0.000
0.000 0.000 0.500
0.500 0.500 0.201
0.500 0.500 0.799
```



| no. | DFT total energy (eV/cell) | DOS at the Fermi energy (states/eV per atom) |
| --- | --- | --- |
| 1 | -16.7 | 1.6638 |
| 2 | -10.3 | 0.3757 |
| 3 | -65.9 | 0.8962 |
| 4 | -107.1 | 0.7822 |
| 5 | -17.0 | 1.1502 |
| 6 | -19.7 | 0.8708 |
| 7 | -14.8 | 0.5898 |
| 8 | -25.7 | 1.0284 |